[1]
## Re2PBr (PBE)

Data for Re2PBr after structural relaxation.

a b c (Å): 2.966 2.966 7.989
angles (deg): 90.00 90.00 90.00
Positions (direct):
P 0.500 0.500 0.828
Re 0.500 0.500 0.224
Re 0.000 0.000 0.003
Br 0.000 0.000 0.445

Summary:
Formation energy (no corrections) ... 0.30 eV per atom
Relative energy among the computed polymorphs ... 0 meV/atom


[2]
## CaMn2SiHg (PBE)

Data for CaMn2SiHg after structural relaxation.

a b c (Å): 5.070 5.001 5.070
angles (deg): 90.00 90.00 90.00
Positions (direct):
Mn 0.500 0.000 0.000
Si 0.000 0.500 0.000
Hg 0.000 0.000 0.000
Mn 0.000 0.000 0.500
Ca 0.500 0.500 0.500

Summary:
Formation energy (no corrections) ... 0.80 eV per atom


[3]
## HfZr2Hg3 (PBE)

Data for HfZr2Hg3 after structural relaxation.

a b c (Å): 3.186 3.186 12.657
angles (deg): 90.00 90.00 90.00
Positions (direct):
Hf 0.500 0.500 0.500
Hg 0.000 0.000 0.000
Zr 0.500 0.500 0.168
Hg 0.000 0.000 0.336
Zr 0.500 0.500 0.832
Hg 0.000 0.000 0.664

Summary:
E_form ... -72 kJ/mol of formula units


[4]
## ScZnCl (PBE)

Data for ScZnCl after structural relaxation.

a b c (Å): 4.442 4.442 3.678
angles (deg): 90.00 90.00 120.00
Positions (direct):
Sc 0.667 0.333 0.166
Zn 0.333 0.667 0.667
Cl 0.000 0.000 0.167

Summary:
Formation energy (no corrections) ... -0.52 eV per atom
Relative energy among the computed polymorphs ... 276 meV/atom


Number 1: density of states at the Fermi level 1.885 states/eV/f.u., uncorrected energy -7.697 eV per atom, total magnetic moment 0.0 μB/f.u.. Number 2: density of states at the Fermi level 3.781 states/eV/f.u., uncorrected energy -4.418 eV per atom, total magnetic moment 8.3 μB/f.u.. Number 3: density of states at the Fermi level 7.677 states/eV/f.u., uncorrected energy -4.783 eV per atom, total magnetic moment 0.2 μB/f.u.. Number 4: density of states at the Fermi level 2.513 states/eV/f.u., uncorrected energy -3.668 eV per atom, total magnetic moment 0.0 μB/f.u..